# 1
# KAlReI2

A relaxed KAlReI2 crystal (PBE, Alexandria).

DOS at the Fermi energy in states/eV per atom: 0.534
Formation energy from raw total energies in meV per atom: 261
Magnetization in μB per formula unit: 1.81
Space-group type: P4/mmm (123)
Volume in Å³/cell: 165

abc: 5.827 5.827 4.846
angles: 90.00 90.00 90.00
Element x y z (fractional)
K: 0.000 0.000 0.000
Al: 0.500 0.500 0.000
Re: 0.500 0.500 0.500
I: 0.000 0.500 0.500
I: 0.500 0.000 0.500

# 2
# LiYSe

A relaxed LiYSe crystal (PBE, Alexandria).

DOS at the Fermi energy in states/eV per atom: 0.610
Formation energy from raw total energies in meV per atom: -849
Magnetization in μB per formula unit: 0.00
Space-group type: I4mm (107)
Volume in Å³/cell: 74
Offset from the most stable computed form in meV per atom: 242.8

abc: 6.472 6.472 6.472
angles: 148.38 148.38 45.32
Element x y z (fractional)
Li: 0.000 0.000 0.000
Y: 0.272 0.272 0.000
Se: 0.644 0.644 0.000

# 3
# KCuNi2

A relaxed KCuNi2 crystal (PBE, Alexandria).

DOS at the Fermi energy in states/eV per atom: 1.222
Formation energy in eV/atom: 0.30
Magnetization in μB per formula unit: 1.05
Space-group type: Cm (8)
Volume in Å³/cell: 84
Offset from the most stable computed form in meV per atom: 0.0

abc: 4.114 4.114 6.133
angles: 107.91 107.91 59.94
Element x y z (fractional)
K: 0.000 0.000 0.000
Cu: 0.180 0.180 0.540
Ni: 0.496 0.496 0.485
Ni: 0.823 0.823 0.465

# 4
# BaBe2Ru

A relaxed BaBe2Ru crystal (PBE, Alexandria).

DOS at the Fermi energy in states/eV per atom: 0.740
Formation energy in eV/atom: 0.61
Magnetization in μB per formula unit: 0.00
Space-group type: Immm (71)
Volume in Å³/cell: 87
Offset from the most stable computed form in meV per atom: 573.5

abc: 5.161 5.161 5.161
angles: 135.21 110.24 86.81
Element x y z (fractional)
Ba: 0.000 0.000 0.000
Be: 0.357 0.857 0.500
Be: 0.643 0.143 0.500
Ru: 0.500 0.500 0.000